Record 1
VASP calculation (GGA-PBE) on a relaxed Tb4Ho5Mg2 crystal.

The structure in extended XYZ format:
```
11
Lattice="0.583 1.757 -2.955 -5.098 -10.615 -3.196 -2.984 12.227 6.679" Properties=species:S:1:pos:R:3 pbc="T T T"
Tb -2.798 -0.576 -0.893
Tb -3.785 -6.876 -2.775
Tb -4.700 3.945 1.421
Tb -3.713 10.245 3.303
Ho -1.655 5.640 0.968
Ho -5.843 -2.271 -0.440
Ho -1.835 2.191 0.937
Ho 0.292 0.879 -1.477
Ho -5.663 1.179 -0.409
Mg -3.719 -3.480 -2.797
Mg -3.779 6.849 3.325
```

Energy of formation from the pure elements (eV per atom): 0.041
Space group: P-1
Size of the total moment (Bohr magnetons per cell): 0.0
Offset from the most stable computed form (eV/f.u.): 0.000


Record 2
VASP calculation (GGA-PBE) on a relaxed TaCrNi2 crystal.

The structure in extended XYZ format:
```
4
Lattice="8.701 0.013 0.007 8.289 2.645 0.007 8.289 1.297 2.305" Properties=species:S:1:pos:R:3 pbc="T T T"
Cr 18.959 2.965 1.740
Ni 0.137 0.021 0.013
Ni 12.502 1.956 1.147
Ta 6.320 0.988 0.580
```

Energy of formation from the pure elements (eV per atom): 0.241
Space group: R-3m
Size of the total moment (Bohr magnetons per cell): 0.0
Offset from the most stable computed form (eV/f.u.): 1.366


Record 3
VASP calculation (GGA-PBE) on a relaxed Zr6NiRh5 crystal.

The structure in extended XYZ format:
```
12
Lattice="4.587 -0.299 0.761 -0.018 6.075 2.491 1.088 0.271 8.002" Properties=species:S:1:pos:R:3 pbc="T T T"
Ni 0.000 0.000 0.000
Rh 3.795 1.020 6.194
Rh 1.889 2.020 3.741
Rh -0.009 3.038 1.246
Rh 3.767 4.027 7.513
Rh 1.862 5.027 5.060
Zr 4.180 3.414 4.733
Zr 4.189 0.342 3.474
Zr 2.280 4.439 2.262
Zr 3.377 1.608 8.992
Zr 1.467 5.705 7.780
Zr 1.477 2.633 6.521
```

Energy of formation from the pure elements (eV per atom): -0.689
Space group: C2/m
Size of the total moment (Bohr magnetons per cell): 0.0


Record 4
VASP calculation (GGA-PBE) on a relaxed Nd2Zn2Hg3 crystal.

The structure in extended XYZ format:
```
14
Lattice="4.416 0.000 -1.053 0.000 7.381 0.000 0.150 0.000 10.415" Properties=species:S:1:pos:R:3 pbc="T T T"
Nd 0.766 1.845 3.213
Nd 3.799 5.536 6.149
Nd 4.321 1.845 8.339
Nd 0.244 5.536 1.023
Zn 3.105 6.915 3.238
Zn 1.460 0.466 6.124
Zn 1.460 3.225 6.124
Zn 3.105 4.157 3.238
Hg 1.046 5.536 4.388
Hg 3.519 1.845 4.974
Hg 2.522 3.274 0.791
Hg 2.044 4.108 8.571
Hg 2.044 6.964 8.571
Hg 2.522 0.417 0.791
```

Energy of formation from the pure elements (eV per atom): -0.305
Space group: Cmcm
Size of the total moment (Bohr magnetons per cell): 0.0
Offset from the most stable computed form (eV/f.u.): 0.000


Record 5
VASP calculation (GGA-PBE) on a relaxed TaTl3Ga crystal.

The structure in extended XYZ format:
```
5
Lattice="5.314 0.000 0.000 0.000 5.314 0.000 0.000 0.000 5.314" Properties=species:S:1:pos:R:3 pbc="T T T"
Tl 0.000 2.657 0.000
Tl 0.000 0.000 2.657
Tl 2.657 0.000 0.000
Ga 0.000 0.000 0.000
Ta 2.657 2.657 2.657
```

Energy of formation from the pure elements (eV per atom): 1.270
Space group: Pm-3m
Size of the total moment (Bohr magnetons per cell): 3.1
Offset from the most stable computed form (eV/f.u.): 2.763


Record 6
VASP calculation (GGA-PBE) on a relaxed ZnGaB2 crystal.

The structure in extended XYZ format:
```
8
Lattice="-3.418 3.770 -2.054 -2.278 -3.818 -3.217 -5.302 -0.801 0.024" Properties=species:S:1:pos:R:3 pbc="T T T"
Zn -2.848 -0.024 -2.635
Zn -5.214 -2.322 -2.914
B -3.748 1.681 -1.681
B -3.175 -2.117 -2.260
B -6.112 -0.617 -1.957
B -8.962 -0.645 -4.595
Ga 0.000 0.000 0.000
Ga -5.784 1.472 -2.333
```

Energy of formation from the pure elements (eV per atom): 1.090
Space group: I-42d
Size of the total moment (Bohr magnetons per cell): 0.0
Offset from the most stable computed form (eV/f.u.): 0.000


Record 7
VASP calculation (GGA-PBE) on a relaxed Sc4Tl3 crystal.

The structure in extended XYZ format:
```
14
Lattice="-0.343 -1.349 -6.128 2.987 -6.630 3.441 -7.561 1.630 2.212" Properties=species:S:1:pos:R:3 pbc="T T T"
Sc -0.171 -0.675 -3.064
Sc 0.000 0.000 0.000
Sc -2.395 -4.981 -2.091
Sc 0.101 -3.259 -0.461
Sc 0.176 -5.476 2.171
Sc -2.522 -1.368 1.616
Sc -5.018 -3.090 -0.014
Sc -5.093 -0.873 -2.646
Tl -4.827 -2.725 3.257
Tl -5.220 -0.006 0.533
Tl -2.392 -1.838 -1.370
Tl -0.089 -3.624 -3.733
Tl 0.303 -6.343 -1.008
Tl -2.524 -4.512 0.895
```

Energy of formation from the pure elements (eV per atom): -0.256
Space group: R-3
Size of the total moment (Bohr magnetons per cell): 0.0
Offset from the most stable computed form (eV/f.u.): 0.000


Record 8
VASP calculation (GGA-PBE) on a relaxed KZn2Si crystal.

The structure in extended XYZ format:
```
4
Lattice="-3.335 3.977 2.832 -2.988 -4.440 -3.423 -0.607 -1.778 1.849" Properties=species:S:1:pos:R:3 pbc="T T T"
K -1.797 -3.109 -0.787
Si -3.162 -0.232 -0.295
Zn 0.000 0.000 0.000
Zn -1.971 1.099 2.341
```

Space group: C2/m
Formation energy (no corrections) (eV per atom): 0.48
Size of the total moment (Bohr magnetons per cell): 0.0


The calculation returns the following electronic total energy values, one per record and in order: -4.013; -8.018; -8.508; -2.160; -3.126; -3.323; -4.888; -1.791 eV/atom.